[1]
Material: K2V2HgO7
Method: DFT, PBE with a Hubbard U
State: relaxed

Summary:
Size of the total moment: 0.00 μB/f.u.
VASP energy: -6.0000 eV/atom

Unit cell a=6.0610 b=6.0610 c=22.8828 alpha=90.00 beta=90.00 gamma=120.00
Space group R32 (No. 155, hexagonal axes)
One atom of each set of equivalent atoms:
K 0.0000 0.0000 0.2299 x6
V 0.0000 0.0000 0.0793 x6
Hg 0.0000 0.0000 0.5000 x3
O 0.0000 0.0000 0.0000 x3
O 0.0281 0.4863 0.7720 x18



[2]
Material: KV2HgO6
Method: DFT, PBE with a Hubbard U
State: relaxed

Summary:
Size of the total moment: 1.02 μB/f.u.
VASP energy: -6.1951 eV/atom

Unit cell a=11.083 b=11.402 c=6.055 alpha=90.00 beta=107.88 gamma=90.00
Space group C2/c (No. 15)
One atom of each set of equivalent atoms:
K 0.000 0.106 0.250 x4
V 0.195 0.425 0.217 x8
Hg 0.000 0.277 0.750 x4
O 0.122 0.293 0.117 x8
O 0.146 0.090 0.699 x8
O 0.149 0.477 0.464 x8



[3]
Material: K3V2HgO8
Method: DFT, PBE with a Hubbard U
State: relaxed

Summary:
Size of the total moment: 1.10 μB/f.u.
VASP energy: -5.7460 eV/atom

Unit cell a=6.0106 b=6.0106 c=7.7643 alpha=90.00 beta=90.00 gamma=120.00
Space group P-3m1 (No. 164)
One atom of each set of equivalent atoms:
K 0.0000 0.0000 0.0000 x1
K 0.3333 0.6667 0.6789 x2
V 0.3333 0.6667 0.2330 x2
Hg 0.0000 0.0000 0.5000 x1
O 0.1743 0.3485 0.3070 x6
O 0.3333 0.6667 0.0130 x2



[4]
Material: KV2Hg2O7
Method: DFT, PBE with a Hubbard U
State: relaxed

Summary:
Size of the total moment: 0.59 μB/f.u.
VASP energy: -5.6125 eV/atom

Unit cell a=6.1186 b=6.1186 c=24.0425 alpha=90.00 beta=90.00 gamma=120.00
Space group R32 (No. 155, hexagonal axes)
One atom of each set of equivalent atoms:
K 0.0000 0.0000 0.0000 x3
V 0.0000 0.0000 0.4250 x6
Hg 0.0000 0.0000 0.2678 x6
O 0.0000 0.0000 0.5000 x3
O 0.0002 0.2662 0.4002 x18